! PuScTc, relaxed, DFT PBE; values from VASP
&SYSTEM
  ibrav = 0, nat = 3, ntyp = 3
/
ATOMIC_SPECIES
Pu 244.00 Pu.upf
Sc 44.96 Sc.upf
Tc 98.00 Tc.upf
ATOMIC_POSITIONS angstrom
Pu 0.000 0.000 0.000
Sc 0.000 0.000 3.291
Tc 0.000 0.000 7.526
CELL_PARAMETERS angstrom
-1.636 1.636 5.842
1.636 -1.636 5.842
1.636 1.636 -5.842
! final energy: -10.393 eV per atom
! excess energy over the best structure of this formula in the dataset: 0 meV per atom
! formation enthalpy at 0 K: -4.8 kJ/mol of atoms
! crystal system: tetragonal
! space-group type: I4mm, No. 107

! PuScTc2, relaxed, DFT PBE; values from VASP
&SYSTEM
  ibrav = 0, nat = 4, ntyp = 3
/
ATOMIC_SPECIES
Pu 244.00 Pu.upf
Sc 44.96 Sc.upf
Tc 98.00 Tc.upf
ATOMIC_POSITIONS angstrom
Pu 0.000 0.000 0.000
Sc 0.000 0.000 3.282
Tc 1.652 1.652 1.559
Tc 1.652 1.652 5.005
CELL_PARAMETERS angstrom
3.304 0.000 0.000
0.000 3.304 0.000
0.000 0.000 6.564
! final energy: -10.452 eV per atom
! excess energy over the best structure of this formula in the dataset: 47 meV per atom
! formation enthalpy at 0 K: -10.0 kJ/mol of atoms
! crystal system: tetragonal
! space-group type: P4/mmm, No. 123

! PuScTc4, relaxed, DFT PBE; values from VASP
&SYSTEM
  ibrav = 0, nat = 6, ntyp = 3
/
ATOMIC_SPECIES
Pu 244.00 Pu.upf
Sc 44.96 Sc.upf
Tc 98.00 Tc.upf
ATOMIC_POSITIONS angstrom
Pu 0.000 0.000 0.000
Sc 5.645 5.645 5.645
Tc 2.826 2.826 2.826
Tc 4.701 4.701 2.826
Tc 4.701 2.826 4.701
Tc 2.826 4.701 4.701
CELL_PARAMETERS angstrom
0.000 3.764 3.764
3.764 0.000 3.764
3.764 3.764 0.000
! final energy: -10.430 eV per atom
! formation enthalpy at 0 K: -7.3 kJ/mol of atoms
! crystal system: cubic
! space-group type: F-43m, No. 216

! Pu2Sc8Tc, relaxed, DFT PBE; values from VASP
&SYSTEM
  ibrav = 0, nat = 11, ntyp = 3
/
ATOMIC_SPECIES
Pu 244.00 Pu.upf
Sc 44.96 Sc.upf
Tc 98.00 Tc.upf
ATOMIC_POSITIONS angstrom
Pu 3.985 0.000 2.107
Pu 12.751 0.000 3.774
Sc 0.613 0.000 1.433
Sc 2.393 0.000 4.893
Sc 5.647 0.000 5.096
Sc 7.085 0.000 2.237
Sc 9.651 0.000 3.643
Sc 11.090 0.000 0.784
Sc 14.344 0.000 0.987
Sc 16.123 0.000 4.448
Tc 8.540 0.000 0.000
CELL_PARAMETERS angstrom
8.540 -2.535 0.000
8.540 2.535 0.000
-0.344 0.000 5.881
! final energy: -8.140 eV per atom
! formation enthalpy at 0 K: 1.3 kJ/mol of atoms
! crystal system: monoclinic
! space-group type: C2/m, No. 12

> final energy of number 3 (PuScTc4)?

-10.430 eV per atom